[1]
A relaxed Cu2Ag5 crystal. Source: OQMD, functional GGA-PBE.

Values from the calculation:
Formation energy (eV per atom): 0.073
Offset from the most stable computed form (meV/atom): 38
SG: C2/m

abc: 4.961 4.961 8.392
angles: 93.72 93.72 33.80
Atoms (fractional coordinates):
1 Cu 0.215 0.215 0.373
2 Ag 0.918 0.918 0.220
3 Cu 0.785 0.785 0.627
4 Ag 0.358 0.358 0.914
5 Ag 0.500 0.500 0.500
6 Ag 0.082 0.082 0.780
7 Ag 0.642 0.642 0.086



[2]
A relaxed Cu3Ag2 crystal. Source: OQMD, functional GGA-PBE.

Values from the calculation:
Formation energy (eV per atom): 0.104
Offset from the most stable computed form (meV/atom): 62
SG: Cm

abc: 11.262 11.262 4.616
angles: 96.81 96.81 14.29
Atoms (fractional coordinates):
1 Cu 0.405 0.405 0.797
2 Ag 0.898 0.898 0.281
3 Cu 0.298 0.298 0.100
4 Cu 0.101 0.101 0.704
5 Cu 0.599 0.599 0.197
6 Cu 0.193 0.193 0.402
7 Ag 0.799 0.799 0.601
8 Ag 0.698 0.698 0.911
9 Cu 0.004 0.004 0.001
10 Ag 0.504 0.504 0.505



[3]
A relaxed Cu3Ag7 crystal. Source: OQMD, functional GGA-PBE.

Values from the calculation:
Formation energy (eV per atom): 0.029
Offset from the most stable computed form (meV/atom): 0
SG: P4/mmm

abc: 2.878 2.878 19.391
angles: 90.00 90.00 90.00
Atoms (fractional coordinates):
1 Ag 0.500 0.500 0.331
2 Ag 0.500 0.500 0.669
3 Cu 0.500 0.500 0.500
4 Ag 0.000 0.000 0.779
5 Cu 0.000 0.000 0.575
6 Ag 0.500 0.500 0.889
7 Ag 0.000 0.000 0.000
8 Ag 0.500 0.500 0.111
9 Cu 0.000 0.000 0.425
10 Ag 0.000 0.000 0.221



[4]
A relaxed Cu2Ag7 crystal. Source: OQMD, functional GGA-PBE.

Values from the calculation:
Formation energy (eV per atom): 0.059
Offset from the most stable computed form (meV/atom): 32
SG: C2/m

abc: 5.012 5.012 11.767
angles: 112.85 112.85 33.66
Atoms (fractional coordinates):
1 Ag 0.213 0.213 0.880
2 Ag 0.787 0.787 0.120
3 Cu 0.660 0.660 0.665
4 Ag 0.572 0.572 0.233
5 Ag 0.000 0.000 0.000
6 Cu 0.340 0.340 0.335
7 Ag 0.428 0.428 0.767
8 Ag 0.110 0.110 0.451
9 Ag 0.890 0.890 0.549



[5]
A relaxed Cu5Ag3 crystal. Source: OQMD, functional GGA-PBE.

Values from the calculation:
Formation energy (eV per atom): 0.096
Offset from the most stable computed form (meV/atom): 49
SG: P-1

abc: 4.670 4.724 5.487
angles: 72.57 89.77 79.51
Atoms (fractional coordinates):
1 Cu 0.010 0.008 0.226
2 Cu 0.748 0.489 0.885
3 Ag 0.500 0.000 0.500
4 Cu 0.500 0.000 0.000
5 Cu 0.990 0.992 0.774
6 Cu 0.252 0.511 0.115
7 Ag 0.239 0.501 0.640
8 Ag 0.761 0.499 0.360



[6]
A relaxed CuAg crystal. Source: OQMD, functional GGA-PBE.

Values from the calculation:
Formation energy (eV per atom): 0.108
SG: C2

abc: 4.792 4.792 4.748
angles: 99.26 99.26 120.43
Atoms (fractional coordinates):
1 Ag 0.159 0.841 0.500
2 Cu 0.499 0.501 0.500
3 Cu 0.995 0.005 0.000
4 Ag 0.669 0.331 0.000
5 Ag 0.340 0.660 0.000
6 Cu 0.838 0.162 0.500



- The lowest formation energy belongs to which entry?
  Cu3Ag7



- Among the records above, which one has the highest formation energy?
  CuAg



Copy entry 2 word for word.
A relaxed Cu3Ag2 crystal. Source: OQMD, functional GGA-PBE.

Values from the calculation:
Formation energy (eV per atom): 0.104
Offset from the most stable computed form (meV/atom): 62
SG: Cm

abc: 11.262 11.262 4.616
angles: 96.81 96.81 14.29
Atoms (fractional coordinates):
1 Cu 0.405 0.405 0.797
2 Ag 0.898 0.898 0.281
3 Cu 0.298 0.298 0.100
4 Cu 0.101 0.101 0.704
5 Cu 0.599 0.599 0.197
6 Cu 0.193 0.193 0.402
7 Ag 0.799 0.799 0.601
8 Ag 0.698 0.698 0.911
9 Cu 0.004 0.004 0.001
10 Ag 0.504 0.504 0.505



- Which value of formation energy does entry 1 give?
  0.073 eV per atom